1.
A plane-wave DFT calculation with meta-GGA SCAN was carried out for a crystal of TcW2 relaxed with PBEsol.

```
TcW2
1.0
-0.304 -1.373 -2.790
3.987 1.510 -1.177
2.937 -4.800 3.791
W Tc
4 2
direct
0.084 0.750 0.168
0.748 0.750 0.496
0.916 0.250 0.832
0.252 0.250 0.504
0.581 0.250 0.161
0.419 0.750 0.839
```

Output
**Space group**: Cmcm
**Formation enthalpy at 0 K**: 0.02 eV/atom
**Polymorph energy (0 for the lowest one)**: 0.0 meV/atom
**Final energy**: -58.120 eV/atom



2.
A plane-wave DFT calculation with meta-GGA SCAN was carried out for a crystal of TcW3 relaxed with PBEsol.

```
TcW3
1.0
3.128 0.000 0.000
0.000 4.425 0.000
-1.564 -2.212 4.423
W Tc
3 1
direct
0.247 0.747 0.493
0.753 0.253 0.507
0.500 0.500 0.000
0.000 0.000 0.000
```

Output
**Space group**: Immm
**Formation enthalpy at 0 K**: 0.02 eV/atom
**Final energy**: -61.015 eV/atom



final energy of number 2 (TcW3)? -61.015 eV/atom



Look up the formation enthalpy at 0 K of the second one. 0.02 eV/atom



What is the formula in the first record? TcW2